Density functional theory data (GGA-PBE) for a relaxed Tb5Hg crystal.

The space group is Cmmm (No. 65) and the conventional cell measures 4.8289, 15.1225 and 4.8392 Å, with angles of 90.00, 90.00 and 90.00 degrees. Symmetry generates all atoms from Tb at (0.0000, 0.0000, 0.0000), Tb at (0.0000, 0.1620, 0.5000), Tb at (0.0000, 0.3314, 0.0000) and Hg at (0.0000, 0.5000, 0.5000).

The excess energy over the best structure of this formula in the dataset is 50 meV per atom. The crystal system is orthorhombic. For the energy relative to the elements, the calculation gives -0.095 eV per atom. The calculation puts the mass density at 9.4 Mg/m³.